Record 1
DFT (GGA-PBE) results for an optimized crystal structure of CdRe3Hg.

Output
* energy relative to the elements: 3.141 eV/atom
* symmetry: Pm-3m, No. 221
* size of the total moment: 4.12 Bohr magnetons per cell
* total energy: -4.57 eV/atom
* ρ: 12.64 g/cm³
* distance to the lowest polymorph of the same formula: 3.3 meV per atom

a b c (Å): 4.856 4.856 4.856
angles (deg): 90.00 90.00 90.00
Sites, in units of the cell vectors:
Cd (0.000, 0.000, 0.000)
Re (0.000, 0.000, 0.500)
Re (0.000, 0.500, 0.000)
Re (0.500, 0.000, 0.000)
Hg (0.500, 0.500, 0.500)

Record 2
DFT (GGA-PBE) results for an optimized crystal structure of CoRu2W.

Output
* energy relative to the elements: 0.133 eV/atom
* symmetry: Cmmm, No. 65
* size of the total moment: 0.82 Bohr magnetons per cell
* total energy: -9.52 eV/atom
* ρ: 13.34 g/cm³
* distance to the lowest polymorph of the same formula: 158.6 meV per atom

a b c (Å): 4.574 4.574 2.770
angles (deg): 90.00 90.00 107.16
Sites, in units of the cell vectors:
Co (0.000, 0.000, 0.000)
Ru (0.000, 0.500, 0.500)
Ru (0.500, 0.000, 0.500)
W (0.500, 0.500, 0.000)

Record 3
DFT (GGA-PBE) results for an optimized crystal structure of ThSn2Te4.

Output
* raw formation energy: -603 meV per atom
* symmetry: C2/m, No. 12
* size of the total moment: 0.00 Bohr magnetons per cell
* total energy: -4.60 eV/atom
* ρ: 6.21 g/cm³
* distance to the lowest polymorph of the same formula: 7.9 meV per atom

a b c (Å): 8.435 8.435 8.000
angles (deg): 117.36 117.36 31.62
Sites, in units of the cell vectors:
Th (0.000, 0.000, 0.000)
Sn (0.265, 0.265, 0.294)
Sn (0.735, 0.735, 0.706)
Te (0.119, 0.119, 0.451)
Te (0.380, 0.380, 0.044)
Te (0.620, 0.620, 0.956)
Te (0.881, 0.881, 0.549)

Record 4
DFT (GGA-PBE) results for an optimized crystal structure of KCaRh2.

Output
* energy relative to the elements: 0.460 eV/atom
* symmetry: C2/m, No. 12
* size of the total moment: 0.88 Bohr magnetons per cell
* total energy: -3.99 eV/atom
* ρ: 5.65 g/cm³
* distance to the lowest polymorph of the same formula: 377.8 meV per atom

a b c (Å): 5.395 5.395 3.144
angles (deg): 90.16 90.16 113.84
Sites, in units of the cell vectors:
K (0.000, 0.000, 0.000)
Ca (0.500, 0.500, 0.000)
Rh (0.000, 0.500, 0.500)
Rh (0.500, 0.000, 0.500)

Record 5
DFT (GGA-PBE) results for an optimized crystal structure of LaTb2Nd3S6.

Output
* raw formation energy: -2045 meV per atom
* symmetry: C2/m, No. 12
* size of the total moment: 0.00 Bohr magnetons per cell
* total energy: -6.48 eV/atom
* ρ: 6.44 g/cm³

a b c (Å): 6.996 6.996 6.995
angles (deg): 99.61 99.61 120.13
Sites, in units of the cell vectors:
La (0.000, 0.000, 0.000)
Tb (0.333, 0.667, 0.000)
Tb (0.667, 0.333, 0.000)
Nd (0.163, 0.837, 0.500)
Nd (0.500, 0.500, 0.500)
Nd (0.837, 0.163, 0.500)
S (0.081, 0.425, 0.244)
S (0.264, 0.264, 0.760)
S (0.425, 0.081, 0.244)
S (0.575, 0.919, 0.756)
S (0.736, 0.736, 0.240)
S (0.919, 0.575, 0.756)

Record 6
DFT (GGA-PBE) results for an optimized crystal structure of TeCSCl2.

Output
* raw formation energy: 1102 meV per atom
* symmetry: P4/mmm, No. 123
* size of the total moment: 0.00 Bohr magnetons per cell
* total energy: -2.94 eV/atom
* ρ: 4.59 g/cm³
* distance to the lowest polymorph of the same formula: 0.0 meV per atom

a b c (Å): 4.423 4.423 4.481
angles (deg): 90.00 90.00 90.00
Sites, in units of the cell vectors:
Te (0.000, 0.000, 0.000)
C (0.500, 0.500, 0.500)
S (0.500, 0.500, 0.000)
Cl (0.000, 0.500, 0.500)
Cl (0.500, 0.000, 0.500)